(1)
{"formula": "NdAl2Pt3", "functional": "SCAN", "state": "single point on PBEsol structure", "m_tot_mub_per_cell": 0.00, "delta_e_f_ev_per_atom": -1.366, "e_tot_ev_per_fu": -277.9, "lattice": [[-1.323, 3.497, -1.280], [-5.221, -1.705, 0.739], [2.698, 2.531, 4.126]], "species": ["Nd", "Al", "Al", "Pt", "Pt", "Pt"], "frac_coords": [[0.000, 0.000, 0.000], [0.000, 0.667, 0.333], [0.000, 0.333, 0.667], [0.500, 0.000, 0.500], [0.500, 0.500, 0.500], [0.500, 0.500, 0.000]]}

---

(2)
{"formula": "Zn3In", "functional": "SCAN", "state": "single point on PBEsol structure", "m_tot_mub_per_cell": 0.00, "delta_e_f_ev_per_atom": 0.185, "e_tot_ev_per_fu": -73.2, "lattice": [[-2.636, -0.898, 1.330], [2.283, -0.898, 3.919], [-0.608, 5.413, -1.132]], "species": ["In", "Zn", "Zn", "Zn"], "frac_coords": [[0.000, 0.993, 0.000], [0.500, 0.489, 0.000], [0.247, 0.923, 0.494], [0.753, 0.429, 0.506]]}